First-principles (PBE-GGA) data for MgPaW after structural relaxation, as listed in OQMD via LeMat-Bulk.

Geometry as POSCAR:
```
MgPaW
1.0
2.201 -2.921 -2.947
-1.710 -4.310 -0.748
-1.947 -1.068 -4.139
W Mg Pa
1 1 1
Direct
0.000 0.000 0.000 W
0.500 0.500 0.500 Mg
0.250 0.250 0.250 Pa
```

## Properties
Size of the total moment in μB/f.u.: 0.00
Excess energy over the best structure of this formula in the dataset in eV/atom: 0.199
Space group: No. 216

---

First-principles (PBE-GGA) data for YMgPa after structural relaxation, as listed in OQMD via LeMat-Bulk.

Geometry as POSCAR:
```
YMgPa
1.0
0.000 3.607 3.607
3.607 0.000 3.607
3.607 3.607 0.000
Y Pa Mg
1 1 1
Direct
0.750 0.750 0.750 Y
0.250 0.250 0.250 Pa
0.000 0.000 0.000 Mg
```

## Properties
Size of the total moment in μB/f.u.: 1.60
Excess energy over the best structure of this formula in the dataset in eV/atom: 0.000
Space group: No. 216

---

First-principles (PBE-GGA) data for MgZrPa after structural relaxation, as listed in OQMD via LeMat-Bulk.

Geometry as POSCAR:
```
MgZrPa
1.0
0.000 3.514 3.514
3.514 0.000 3.514
3.514 3.514 0.000
Mg Zr Pa
1 1 1
Direct
0.250 0.250 0.250 Mg
0.750 0.750 0.750 Zr
0.000 0.000 0.000 Pa
```

## Properties
Size of the total moment in μB/f.u.: 2.89
Excess energy over the best structure of this formula in the dataset in eV/atom: 0.295
Space group: No. 216

---

Question: What is the size of the total moment in the third record?
Answer: 2.89 μB/f.u.